PrNd2Tl2Cd4 | OQMD via LeMat-Bulk | PBE | optimized geometry; space group = Amm2 (38); VASP energy = -2.8886 eV per atom; size of the total moment = 0.004 μB per atom
1.0
-3.434 2.545 1.936
-3.718 -6.495 1.944
5.096 3.164 4.879
Tl Cd Pr Nd
2 4 1 2
direct
0.500 0.668 0.333 Tl
0.500 0.333 0.668 Tl
0.500 0.762 0.762 Cd
0.500 0.238 0.000 Cd
0.000 0.999 0.999 Cd
0.500 0.000 0.238 Cd
0.000 0.422 0.422 Pr
0.000 0.000 0.579 Nd
0.000 0.579 0.000 Nd